The following is a DFT calculation (GGA-PBE) of CuHgHAu2 after structural relaxation.

Lattice parameters (Å, degrees): 4.8282 4.8282 3.2289 90.00 90.00 90.00
Atoms (fractional coordinates):
Cu (0.0000, 0.0000, 0.0000)
Hg (0.5000, 0.5000, 0.0000)
H (0.0000, 0.0000, 0.5000)
Au (0.0000, 0.5000, 0.5000)
Au (0.5000, 0.0000, 0.5000)

Summary:
DOS(E_F) in states/eV/atom: 0.193
Raw total energy in eV for the cell shown: -13.163
Total magnetic moment in μB per formula unit: 0.0

=====

The following is a DFT calculation (GGA-PBE) of CuHgH2Au after structural relaxation.

Lattice parameters (Å, degrees): 3.7187 3.7187 6.0311 90.00 90.00 90.00
Atoms (fractional coordinates):
Cu (0.0000, 0.0000, 0.0000)
Hg (0.0000, 0.0000, 0.5000)
H (0.0000, 0.5000, 0.0000)
H (0.5000, 0.0000, 0.0000)
Au (0.5000, 0.5000, 0.5000)

Summary:
DOS(E_F) in states/eV/atom: 0.235
Raw total energy in eV for the cell shown: -11.785
Total magnetic moment in μB per formula unit: 0.0

=====

The following is a DFT calculation (GGA-PBE) of InCu2HAu after structural relaxation.

Lattice parameters (Å, degrees): 3.9386 3.9386 4.3632 90.00 90.00 90.00
Atoms (fractional coordinates):
In (0.0000, 0.0000, 0.0000)
Cu (0.0000, 0.5000, 0.5000)
Cu (0.5000, 0.0000, 0.5000)
H (0.0000, 0.0000, 0.5000)
Au (0.5000, 0.5000, 0.0000)

Summary:
DOS(E_F) in states/eV/atom: 0.167
Raw total energy in eV for the cell shown: -16.795
Total magnetic moment in μB per formula unit: 0.0

=====

The following is a DFT calculation (GGA-PBE) of In2Cu6HAu after structural relaxation.

Lattice parameters (Å, degrees): 5.1090 5.1231 6.7464 70.29 70.08 62.49
Atoms (fractional coordinates):
In (0.2486, 0.2504, 0.3271)
In (0.7514, 0.7496, 0.6729)
Cu (0.1749, 0.6507, 0.8815)
Cu (0.1934, 0.1910, 0.7737)
Cu (0.3480, 0.8259, 0.1194)
Cu (0.6520, 0.1741, 0.8806)
Cu (0.8066, 0.8091, 0.2263)
Cu (0.8251, 0.3493, 0.1185)
H (0.0000, 0.0000, 0.0000)
Au (0.5000, 0.5000, 0.5000)

Summary:
DOS(E_F) in states/eV/atom: 0.336
Raw total energy in eV for the cell shown: -35.970
Total magnetic moment in μB per formula unit: 0.0

=====

The following is a DFT calculation (GGA-PBE) of Cu2HIrAu after structural relaxation.

Lattice parameters (Å, degrees): 4.0292 4.0292 3.6527 90.00 90.00 90.00
Atoms (fractional coordinates):
Cu (0.0000, 0.5000, 0.0000)
Cu (0.5000, 0.0000, 0.0000)
H (0.0000, 0.0000, 0.0000)
Ir (0.0000, 0.0000, 0.5000)
Au (0.5000, 0.5000, 0.5000)

Summary:
DOS(E_F) in states/eV/atom: 0.389
Raw total energy in eV for the cell shown: -23.211
Total magnetic moment in μB per formula unit: 0.0

=====

The following is a DFT calculation (GGA-PBE) of K2CuHAu after structural relaxation.

Lattice parameters (Å, degrees): 5.6504 5.6504 3.9309 90.00 90.00 90.00
Atoms (fractional coordinates):
K (0.0000, 0.5000, 0.0000)
K (0.5000, 0.0000, 0.0000)
Cu (0.0000, 0.0000, 0.5000)
H (0.5000, 0.5000, 0.0000)
Au (0.5000, 0.5000, 0.5000)

Summary:
DOS(E_F) in states/eV/atom: 0.175
Raw total energy in eV for the cell shown: -12.535
Total magnetic moment in μB per formula unit: 0.0

=====

The following is a DFT calculation (GGA-PBE) of La2CuHAu after structural relaxation.

Lattice parameters (Å, degrees): 5.2002 5.2002 3.8685 90.00 90.00 90.00
Atoms (fractional coordinates):
La (0.0000, 0.5000, 0.0000)
La (0.5000, 0.0000, 0.0000)
Cu (0.0000, 0.0000, 0.5000)
H (0.0000, 0.0000, 0.0000)
Au (0.5000, 0.5000, 0.5000)

Summary:
Energy above the most stable polymorph in this dataset in meV/atom: 0.0
DOS(E_F) in states/eV/atom: 0.648
Raw total energy in eV for the cell shown: -22.883
Total magnetic moment in μB per formula unit: 0.0

=====

The following is a DFT calculation (GGA-PBE) of La2CuHAu after structural relaxation.

Lattice parameters (Å, degrees): 5.1791 5.1791 3.9929 90.00 90.00 90.00
Atoms (fractional coordinates):
La (0.0000, 0.5000, 0.0000)
La (0.5000, 0.0000, 0.0000)
Cu (0.0000, 0.0000, 0.5000)
H (0.5000, 0.5000, 0.0000)
Au (0.5000, 0.5000, 0.5000)

Summary:
Energy above the most stable polymorph in this dataset in meV/atom: 106.8
DOS(E_F) in states/eV/atom: 0.730
Raw total energy in eV for the cell shown: -22.349
Total magnetic moment in μB per formula unit: 0.0

=====

Q: The highest raw total energy belongs to which entry?
A: CuHgH2Au